No. 1
This record from the Alexandria database describes an optimized crystal structure of LaEr5Te8. The functional is GGA-PBE.

- space-group type = F-43m (216)
- formation energy from raw total energies (eV/atom) = -1.2215

Lattice parameters (Å, degrees): 9.064 9.064 9.064 60.00 60.00 60.00
Element x y z (fractional)
Er1 0.000 0.000 0.000
Te1 0.388 0.388 0.837
Te2 0.396 0.868 0.868
Te3 0.868 0.868 0.868
Er2 0.627 0.120 0.627
La1 0.250 0.250 0.250
Te4 0.868 0.868 0.396
Te5 0.837 0.388 0.388
Te6 0.388 0.837 0.388
Er3 0.627 0.627 0.627
Te7 0.388 0.388 0.388
Te8 0.868 0.396 0.868
Er4 0.120 0.627 0.627
Er5 0.627 0.627 0.120

No. 2
This record from the Alexandria database describes an optimized crystal structure of La3ErTe4. The functional is GGA-PBE.

- polymorph energy (0 for the lowest one) (meV per atom) = 0
- space-group type = P2/c (13)
- formation energy from raw total energies (eV/atom) = -1.4967

Lattice parameters (Å, degrees): 7.818 7.884 8.961 90.00 90.00 109.15
Element x y z (fractional)
La1 0.250 0.000 0.625
Te1 0.000 0.764 0.883
La2 0.750 0.500 0.127
Er1 0.250 0.000 0.127
Te2 0.500 0.764 0.117
Te3 0.508 0.757 0.632
Te4 0.008 0.757 0.368
Te5 0.992 0.243 0.632
Er2 0.750 0.000 0.873
La3 0.250 0.500 0.377
La4 0.250 0.500 0.873
Te6 0.500 0.236 0.883
Te7 0.492 0.243 0.368
Te8 0.000 0.236 0.117
La5 0.750 0.000 0.375
La6 0.750 0.500 0.623

No. 3
This record from the Alexandria database describes an optimized crystal structure of La5ErTe6. The functional is GGA-PBE.

- space-group type = C2/m (12)
- formation energy from raw total energies (eV/atom) = -1.5310

Lattice parameters (Å, degrees): 7.856 7.854 7.867 60.05 80.36 70.41
Element x y z (fractional)
Te1 0.760 0.401 0.679
Te2 0.240 0.599 0.321
La1 0.000 0.665 0.669
Er1 0.000 0.000 0.000
Te3 0.248 0.237 0.000
Te4 0.240 0.921 0.679
La2 0.000 0.335 0.331
La3 0.500 0.174 0.652
La4 0.500 0.500 0.000
La5 0.500 0.826 0.348
Te5 0.760 0.079 0.321
Te6 0.752 0.763 0.000

No. 4
This record from the Alexandria database describes an optimized crystal structure of LaEr2Te5. The functional is GGA-PBE.

- space-group type = I4/mcm (140)
- formation energy from raw total energies (eV/atom) = -1.2648

Lattice parameters (Å, degrees): 8.194 8.194 9.176 116.52 116.52 90.00
Element x y z (fractional)
Er1 0.151 0.349 0.000
Er2 0.651 0.151 0.000
Te1 0.010 0.510 0.709
Te2 0.199 0.010 0.709
Te3 0.801 0.990 0.291
Te4 0.000 0.000 0.000
Er3 0.349 0.849 0.000
Te5 0.500 0.500 0.000
Er4 0.849 0.651 0.000
La1 0.250 0.250 0.500
Te6 0.699 0.199 0.709
Te7 0.510 0.699 0.709
Te8 0.301 0.801 0.291
Te9 0.990 0.490 0.291
La2 0.750 0.750 0.500
Te10 0.490 0.301 0.291

No. 5
This record from the Alexandria database describes an optimized crystal structure of LaErTe3. The functional is GGA-PBE.

- polymorph energy (0 for the lowest one) (meV per atom) = 0
- space-group type = Cmcm (63)
- formation energy from raw total energies (eV/atom) = -1.4923

Lattice parameters (Å, degrees): 4.363 7.438 10.855 90.00 90.00 107.06
Element x y z (fractional)
Te1 0.355 0.711 0.939
Te2 0.914 0.828 0.250
Te3 0.645 0.289 0.439
Te4 0.645 0.289 0.061
La1 0.750 0.501 0.750
Er1 0.000 0.000 0.000
La2 0.250 0.499 0.250
Te5 0.355 0.711 0.561
Er2 0.000 0.000 0.500
Te6 0.086 0.172 0.750

No. 6
This record from the Alexandria database describes an optimized crystal structure of La6ErTe8. The functional is GGA-PBE.

- space-group type = Fm-3m (225)
- formation energy from raw total energies (eV/atom) = -1.5682

Lattice parameters (Å, degrees): 9.116 9.116 9.116 60.00 60.00 60.00
Element x y z (fractional)
La1 0.000 0.500 0.000
La2 0.500 0.000 0.000
Te1 0.243 0.757 0.757
La3 0.000 0.000 0.500
Er1 0.000 0.000 0.000
Te2 0.243 0.757 0.243
Te3 0.757 0.757 0.243
La4 0.000 0.500 0.500
Te4 0.243 0.243 0.757
La5 0.500 0.500 0.000
Te5 0.750 0.750 0.750
Te6 0.757 0.243 0.243
La6 0.500 0.000 0.500
Te7 0.757 0.243 0.757
Te8 0.250 0.250 0.250

No. 7
This record from the Alexandria database describes an optimized crystal structure of La4ErTe7. The functional is GGA-PBE.

- space-group type = Cm (8)
- formation energy from raw total energies (eV/atom) = -1.5385

Lattice parameters (Å, degrees): 4.421 7.750 13.482 104.32 90.00 106.57
Element x y z (fractional)
Er1 0.884 0.769 0.575
Te1 0.270 0.541 0.650
Te2 0.963 0.927 0.216
La1 0.302 0.605 0.194
Te3 0.490 0.979 0.500
La2 0.000 0.000 0.996
Te4 0.338 0.675 0.950
Te5 0.743 0.486 0.357
Te6 0.662 0.324 0.051
La3 0.113 0.226 0.430
La4 0.700 0.400 0.806
Te7 0.035 0.070 0.774

No. 8
This record from the Alexandria database describes an optimized crystal structure of LaErTe3. The functional is GGA-PBE.

- polymorph energy (0 for the lowest one) (meV per atom) = 12
- space-group type = Pnma (62)
- formation energy from raw total energies (eV/atom) = -1.4801

Lattice parameters (Å, degrees): 4.477 8.323 17.365 90.00 90.00 90.00
Element x y z (fractional)
Er1 0.250 0.271 0.958
Er2 0.750 0.229 0.458
Te1 0.250 0.879 0.939
La1 0.750 0.363 0.699
Te2 0.750 0.845 0.214
Te3 0.250 0.155 0.786
Te4 0.750 0.621 0.439
La2 0.750 0.863 0.801
Te5 0.250 0.508 0.104
Te6 0.250 0.655 0.714
Te7 0.750 0.992 0.604
Te8 0.750 0.345 0.286
Te9 0.250 0.379 0.561
Er3 0.250 0.771 0.542
Er4 0.750 0.729 0.042
Te10 0.750 0.121 0.061
Te11 0.250 0.008 0.396
La3 0.250 0.637 0.301
La4 0.250 0.137 0.199
Te12 0.750 0.492 0.896

No. 9
This record from the Alexandria database describes an optimized crystal structure of LaErTe. The functional is GGA-PBE.

- polymorph energy (0 for the lowest one) (meV per atom) = 0
- space-group type = P4/nmm (129)
- formation energy from raw total energies (eV/atom) = -0.9343

Lattice parameters (Å, degrees): 4.536 4.536 8.824 90.00 90.00 90.00
Element x y z (fractional)
La1 0.000 0.500 0.855
Er1 0.500 0.500 0.500
Te1 0.500 0.000 0.763
La2 0.500 0.000 0.145
Er2 0.000 0.000 0.500
Te2 0.000 0.500 0.237

No. 10
This record from the Alexandria database describes an optimized crystal structure of La2ErTe3. The functional is GGA-PBE.

- polymorph energy (0 for the lowest one) (meV per atom) = 10
- space-group type = Immm (71)
- formation energy from raw total energies (eV/atom) = -1.4598

Lattice parameters (Å, degrees): 6.367 8.946 7.808 106.64 114.06 90.00
Element x y z (fractional)
La1 0.672 0.086 0.345
Te1 0.845 0.423 0.691
Er1 0.000 0.250 0.000
La2 0.328 0.914 0.655
Te2 0.155 0.077 0.309
La3 0.328 0.414 0.655
La4 0.672 0.586 0.345
Te3 0.500 0.750 0.000
Te4 0.155 0.577 0.309
Er2 0.000 0.750 0.000
Te5 0.500 0.250 0.000
Te6 0.845 0.923 0.691

No. 11
This record from the Alexandria database describes an optimized crystal structure of La3Er4Te8. The functional is GGA-PBE.

- space-group type = C2/m (12)
- formation energy from raw total energies (eV/atom) = -1.4172

Lattice parameters (Å, degrees): 8.822 8.870 8.870 90.07 119.75 119.75
Element x y z (fractional)
Er1 0.000 0.000 0.000
La1 0.500 0.500 0.000
Te1 0.500 0.244 0.756
Te2 0.987 0.244 0.244
La2 0.500 0.000 0.500
Er2 0.000 0.500 0.000
Er3 0.000 0.000 0.500
Te3 0.497 0.242 0.242
Te4 0.013 0.756 0.756
Te5 0.000 0.751 0.249
Er4 0.500 0.000 0.000
Te6 0.500 0.756 0.244
La3 0.500 0.500 0.500
Te7 0.503 0.758 0.758
Te8 0.000 0.249 0.751

Repeat the tenth record exactly.
This record from the Alexandria database describes an optimized crystal structure of La2ErTe3. The functional is GGA-PBE.

- polymorph energy (0 for the lowest one) (meV per atom) = 10
- space-group type = Immm (71)
- formation energy from raw total energies (eV/atom) = -1.4598

Lattice parameters (Å, degrees): 6.367 8.946 7.808 106.64 114.06 90.00
Element x y z (fractional)
La1 0.672 0.086 0.345
Te1 0.845 0.423 0.691
Er1 0.000 0.250 0.000
La2 0.328 0.914 0.655
Te2 0.155 0.077 0.309
La3 0.328 0.414 0.655
La4 0.672 0.586 0.345
Te3 0.500 0.750 0.000
Te4 0.155 0.577 0.309
Er2 0.000 0.750 0.000
Te5 0.500 0.250 0.000
Te6 0.845 0.923 0.691